[1]
A relaxed structure of AcTl3In3. Source: the Alexandria database, functional PBE.

```
data_AcTl3In3
_chemical_formula_sum 'Ac2 Tl6 In6'
_space_group_name_H-M_alt 'P m -3 n'
_space_group_IT_number 223
_space_group_name_Hall '-P 4n 2 3'
_cell_length_a 8.0983
_cell_length_b 8.0983
_cell_length_c 8.0983
_cell_angle_alpha 90.00
_cell_angle_beta 90.00
_cell_angle_gamma 90.00
loop_
_atom_site_label
_atom_site_fract_x
_atom_site_fract_y
_atom_site_fract_z
_atom_site_occupancy
Ac1 0.0000 0.0000 0.0000 1
Tl1 0.0000 0.2500 0.5000 1
In1 0.0000 0.5000 0.2500 1
```

Properties
- crystal system = cubic

[2]
A relaxed structure of Ac8TlIn2. Source: the Alexandria database, functional PBE.

```
data_Ac8TlIn2
_chemical_formula_sum 'Ac16 Tl2 In4'
_space_group_name_H-M_alt 'I m m m'
_space_group_IT_number 71
_space_group_name_Hall '-I 2 2'
_cell_length_a 5.5515
_cell_length_b 9.7545
_cell_length_c 15.9833
_cell_angle_alpha 90.00
_cell_angle_beta 90.00
_cell_angle_gamma 90.00
loop_
_atom_site_label
_atom_site_fract_x
_atom_site_fract_y
_atom_site_fract_z
_atom_site_occupancy
Ac1 0.0000 0.0000 0.1420 1
Ac2 0.0000 0.2235 0.3415 1
Ac3 0.0000 0.3189 0.0000 1
Tl1 0.0000 0.5000 0.5000 1
In1 0.0000 0.5000 0.1948 1
```

Properties
- energy above the lowest structure with this stoichiometry (eV/atom) = 0.039
- crystal system = orthorhombic

[3]
A relaxed structure of Ac4Tl2In. Source: the Alexandria database, functional PBE.

```
data_Ac4Tl2In
_chemical_formula_sum 'Ac8 Tl4 In2'
_space_group_name_H-M_alt 'I 4/m m m'
_space_group_IT_number 139
_space_group_name_Hall '-I 4 2'
_cell_length_a 8.1512
_cell_length_b 8.1512
_cell_length_c 8.1914
_cell_angle_alpha 90.00
_cell_angle_beta 90.00
_cell_angle_gamma 90.00
loop_
_atom_site_label
_atom_site_fract_x
_atom_site_fract_y
_atom_site_fract_z
_atom_site_occupancy
Ac1 0.2500 0.2500 0.2500 1
Tl1 0.0000 0.5000 0.0000 1
In1 0.0000 0.0000 0.0000 1
```

Properties
- crystal system = tetragonal

[4]
A relaxed structure of Ac4Tl12In. Source: the Alexandria database, functional PBE.

```
data_Ac4Tl12In
_chemical_formula_sum 'Ac8 Tl24 In2'
_space_group_name_H-M_alt 'I m -3 m'
_space_group_IT_number 229
_space_group_name_Hall '-I 4 2 3'
_cell_length_a 10.2142
_cell_length_b 10.2142
_cell_length_c 10.2142
_cell_angle_alpha 90.00
_cell_angle_beta 90.00
_cell_angle_gamma 90.00
loop_
_atom_site_label
_atom_site_fract_x
_atom_site_fract_y
_atom_site_fract_z
_atom_site_occupancy
Ac1 0.2500 0.2500 0.2500 1
Tl1 0.0000 0.0000 0.3001 1
Tl2 0.0000 0.2500 0.5000 1
In1 0.0000 0.0000 0.0000 1
```

Properties
- crystal system = cubic

[5]
A relaxed structure of Ac2Tl4In. Source: the Alexandria database, functional PBE.

```
data_Ac2Tl4In
_chemical_formula_sum 'Ac8 Tl16 In4'
_space_group_name_H-M_alt 'F m m m'
_space_group_IT_number 69
_space_group_name_Hall '-F 2 2'
_cell_length_a 6.6404
_cell_length_b 10.8669
_cell_length_c 13.1557
_cell_angle_alpha 90.00
_cell_angle_beta 90.00
_cell_angle_gamma 90.00
loop_
_atom_site_label
_atom_site_fract_x
_atom_site_fract_y
_atom_site_fract_z
_atom_site_occupancy
Ac1 0.0000 0.0000 0.1445 1
Tl1 0.2500 0.2500 0.0000 1
Tl2 0.2500 0.2500 0.2500 1
In1 0.0000 0.0000 0.5000 1
```

Properties
- crystal system = orthorhombic

[6]
A relaxed structure of Ac6TlIn2. Source: the Alexandria database, functional PBE.

```
data_Ac6TlIn2
_chemical_formula_sum 'Ac24 Tl4 In8'
_space_group_name_H-M_alt 'I m m m'
_space_group_IT_number 71
_space_group_name_Hall '-I 2 2'
_cell_length_a 10.9652
_cell_length_b 11.1043
_cell_length_c 11.7320
_cell_angle_alpha 90.00
_cell_angle_beta 90.00
_cell_angle_gamma 90.00
loop_
_atom_site_label
_atom_site_fract_x
_atom_site_fract_y
_atom_site_fract_z
_atom_site_occupancy
Ac1 0.0000 0.2126 0.1722 1
Ac2 0.1773 0.2327 0.5000 1
Ac3 0.1989 0.5000 0.2472 1
Tl1 0.0000 0.5000 0.0000 1
Tl2 0.0000 0.5000 0.5000 1
In1 0.0000 0.0000 0.3760 1
In2 0.1473 0.0000 0.0000 1
```

Properties
- energy above the lowest structure with this stoichiometry (eV/atom) = 0.000
- crystal system = orthorhombic

[7]
A relaxed structure of Ac14TlIn. Source: the Alexandria database, functional PBE.

```
data_Ac14TlIn
_chemical_formula_sum 'Ac28 Tl2 In2'
_space_group_name_H-M_alt 'A m m 2'
_space_group_IT_number 38
_cell_length_a 11.1970
_cell_length_b 10.9225
_cell_length_c 10.9223
_cell_angle_alpha 90.00
_cell_angle_beta 90.00
_cell_angle_gamma 90.00
loop_
_space_group_symop_operation_xyz
'x,y,z'
'-x,-y,z'
'-x,y,z'
'x,-y,z'
'x,y+1/2,z+1/2'
'-x,-y+1/2,z+1/2'
'-x,y+1/2,z+1/2'
'x,-y+1/2,z+1/2'
loop_
_atom_site_label
_atom_site_fract_x
_atom_site_fract_y
_atom_site_fract_z
_atom_site_occupancy
Ac1 0.0000 0.0000 0.0004 1
Ac2 0.0000 0.0000 0.5000 1
Ac3 0.0000 0.2495 0.2502 1
Ac4 0.2588 0.0000 0.7509 1
Ac5 0.2604 0.0000 0.2494 1
Ac6 0.2596 0.2494 0.0001 1
Ac7 0.5000 0.2488 0.7500 1
Tl1 0.5000 0.0000 0.5001 1
In1 0.5000 0.0000 0.0001 1
```

Properties
- crystal system = orthorhombic

[8]
A relaxed structure of Ac5TlIn3. Source: the Alexandria database, functional PBE.

```
data_Ac5TlIn3
_chemical_formula_sum 'Ac10 Tl2 In6'
_space_group_name_H-M_alt 'P 63/m c m'
_space_group_IT_number 193
_space_group_name_Hall '-P 6c 2'
_cell_length_a 10.2001
_cell_length_b 10.2001
_cell_length_c 7.2808
_cell_angle_alpha 90.00
_cell_angle_beta 90.00
_cell_angle_gamma 120.00
loop_
_atom_site_label
_atom_site_fract_x
_atom_site_fract_y
_atom_site_fract_z
_atom_site_occupancy
Ac1 0.0000 0.2913 0.2500 1
Ac2 0.3333 0.6667 0.0000 1
Tl1 0.0000 0.0000 0.0000 1
In1 0.0000 0.3694 0.7500 1
```

Properties
- crystal system = hexagonal

Number 1: VASP energy -2.479 eV per atom, calculated formation energy 0.296 eV per atom. Number 2: VASP energy -3.843 eV per atom, calculated formation energy -0.142 eV per atom. Number 3: VASP energy -3.679 eV per atom, calculated formation energy -0.264 eV per atom. Number 4: VASP energy -3.057 eV per atom, calculated formation energy -0.259 eV per atom. Number 5: VASP energy -3.031 eV per atom, calculated formation energy -0.114 eV per atom. Number 6: VASP energy -3.864 eV per atom, calculated formation energy -0.253 eV per atom. Number 7: VASP energy -3.979 eV per atom, calculated formation energy -0.065 eV per atom. Number 8: VASP energy -3.806 eV per atom, calculated formation energy -0.348 eV per atom.